DFT (PBE-GGA) results for crystalline CaCuMo2C at its relaxed geometry.

It has space group P4/mmm (No. 123), with a = 4.557 Å, b = 4.557 Å, c = 5.175 Å, α = 90.00°, β = 90.00° and γ = 90.00°. Symmetry generates all atoms from Ca at (0.000, 0.000, 0.000), Cu at (0.000, 0.000, 0.500), Mo at (0.000, 0.500, 0.500) and C at (0.500, 0.500, 0.000).

Its crystal system is tetragonal. The calculated total energy is -5.0223 eV/atom.